# 1
NaCu2Ge2 | PBEsol | relaxed

abc: 4.2203 4.2203 5.7346
angles: 111.59 111.59 90.00
Fractional positions:
Ge 0.2500 0.7500 0.5000
Cu 0.6245 0.6245 0.2490
Cu 0.3755 0.3755 0.7510
Ge 0.7500 0.2500 0.5000
Na 0.0000 0.0000 0.0000

Excess energy over the best structure of this formula in the dataset = 0.125 eV/atom
Total DFT energy (no corrections) = -19.5 eV/cell
Calculated density = 5.62 g/cm3
Formation energy = 87.6 meV/atom

---

# 2
MgZnAg | PBEsol | relaxed

abc: 2.9150 4.4878 4.4878
angles: 120.00 90.00 90.00
Fractional positions:
Mg 0.0000 0.3333 0.6667
Ag 0.5000 0.0000 0.0000
Zn 0.5000 0.6667 0.3333

Excess energy over the best structure of this formula in the dataset = 0.005 eV/atom
Total DFT energy (no corrections) = -7.0 eV/cell
Calculated density = 6.45 g/cm3
Formation energy = -145.0 meV/atom

---

# 3
Tl2FeRh | PBEsol | relaxed

abc: 3.1104 4.6886 4.6886
angles: 90.00 90.00 90.00
Site moments in Bohr magnetons follow the coordinates.
Fractional positions:
Tl 0.0000 0.5000 0.0000  -0.04
Tl 0.0000 0.0000 0.5000  -0.04
Rh 0.5000 0.0000 0.0000  -0.07
Fe 0.5000 0.5000 0.5000  2.50

Excess energy over the best structure of this formula in the dataset = 0.110 eV/atom
Total DFT energy (no corrections) = -20.8 eV/cell
Calculated density = 13.78 g/cm3
Formation energy = 400.3 meV/atom

---

# 4
Cu2MoSe | PBEsol | relaxed

abc: 3.7083 3.7083 4.7337
angles: 113.06 113.06 90.00
Fractional positions:
Cu 0.0000 0.0000 0.0000
Se 0.2500 0.7500 0.5000
Mo 0.5000 0.5000 0.0000
Cu 0.7500 0.2500 0.5000

Total DFT energy (no corrections) = -23.2 eV/cell
E_form (uncorrected) = 260 meV per atom
Calculated density = 9.25 g/cm3

---

# 5
MoRu2RhS | PBEsol | relaxed

abc: 4.6233 4.5780 4.5780
angles: 90.00 90.00 90.00
Site moments in Bohr magnetons follow the coordinates.
Fractional positions:
S 0.5000 0.5000 0.5000  -0.07
Ru 0.0000 0.0000 0.5000  -0.33
Rh 0.0000 0.0000 0.0000  -0.04
Mo 0.5000 0.0000 0.0000  1.10
Ru 0.0000 0.5000 0.0000  -0.33

Total DFT energy (no corrections) = -34.2 eV/cell
E_form (uncorrected) = 2088 meV per atom
Calculated density = 7.42 g/cm3

---

# 6
Cu3P4S3I3 | PBEsol | relaxed

abc: 6.9354 9.9530 19.0666
angles: 90.00 90.00 90.00
Fractional positions:
P 0.0713 0.2500 0.3535
P 0.6638 0.8646 0.6142
P 0.1638 0.1354 0.8858
S 0.7054 0.5867 0.5087
I 0.3327 0.7500 0.3591
I 0.1717 0.4643 0.6921
S 0.0922 0.7500 0.5544
P 0.3362 0.3646 0.3858
P 0.6638 0.6354 0.6142
Cu 0.5412 0.4812 0.6834
S 0.5922 0.2500 0.9456
P 0.8362 0.6354 0.1142
Cu 0.0375 0.2500 0.6336
I 0.6717 0.5357 0.8079
P 0.4287 0.2500 0.8535
P 0.3362 0.1354 0.3858
P 0.5713 0.7500 0.1465
Cu 0.5412 0.0188 0.6834
Cu 0.0412 0.5188 0.8166
S 0.4078 0.7500 0.0544
S 0.2946 0.4133 0.4913
I 0.3283 0.4643 0.1921
Cu 0.4588 0.5188 0.3166
Cu 0.4625 0.2500 0.1336
Cu 0.9625 0.7500 0.3664
P 0.6236 0.7500 0.9762
S 0.2946 0.0867 0.4913
I 0.6673 0.2500 0.6409
Cu 0.0412 0.9812 0.8166
S 0.9078 0.2500 0.4456
P 0.9287 0.7500 0.6465
P 0.1236 0.2500 0.5238
S 0.7946 0.5867 0.0087
I 0.3283 0.0357 0.1921
S 0.2054 0.0867 0.9913
I 0.6717 0.9643 0.8079
Cu 0.4588 0.9812 0.3166
I 0.1717 0.0357 0.6921
P 0.8362 0.8646 0.1142
P 0.1638 0.3646 0.8858
P 0.3764 0.2500 0.0238
P 0.8764 0.7500 0.4762
S 0.7946 0.9133 0.0087
I 0.8327 0.2500 0.1409
I 0.1673 0.7500 0.8591
Cu 0.5375 0.7500 0.8664
Cu 0.9588 0.4812 0.1834
I 0.8283 0.5357 0.3079
Cu 0.9588 0.0188 0.1834
S 0.7054 0.9133 0.5087
S 0.2054 0.4133 0.9913
I 0.8283 0.9643 0.3079

Total DFT energy (no corrections) = -227.6 eV/cell
E_form (uncorrected) = -174 meV per atom
Calculated density = 3.99 g/cm3

---

| no. | magnetic moment (μB per cell) |
| --- | --- |
| 1 | 0.00 |
| 2 | 0.00 |
| 3 | 2.32 |
| 4 | 0.00 |
| 5 | 0.39 |
| 6 | 0.00 |